Below is crystalline V3Cu2TeP6O24 at its relaxed geometry, with properties calculated at the GGA+U level.

a = 8.6932 Å, b = 8.6979 Å, c = 8.6979 Å
α = 60.00°, β = 59.98°, γ = 59.98°
Positions (direct):
O: 0.2446 0.4128 0.5815
O: 0.2389 0.0803 0.7384
P: 0.2427 0.5526 0.9535
O: 0.4323 0.3953 0.9693
O: 0.0734 0.3017 0.5030
O: 0.4323 0.2031 0.3953
P: 0.2427 0.2511 0.5526
O: 0.4323 0.9693 0.2031
O: 0.9285 0.8875 0.6681
O: 0.7792 0.9037 0.2742
O: 0.9285 0.6681 0.5159
P: 0.7523 0.4672 0.0410
O: 0.5692 0.6204 0.0058
O: 0.7401 0.5808 0.4426
P: 0.7523 0.7394 0.4672
P: 0.2427 0.9535 0.2511
O: 0.5692 0.0058 0.8046
O: 0.0734 0.5030 0.1219
O: 0.2446 0.5815 0.7611
Te: 0.5704 0.1432 0.1432
O: 0.2389 0.9424 0.0803
V: 0.0674 0.6442 0.6442
Cu: 0.0087 0.9971 0.9971
O: 0.7792 0.0429 0.9037
Cu: 0.4956 0.5014 0.5014
V: 0.9262 0.3579 0.3579
O: 0.9285 0.5159 0.8875
V: 0.4279 0.8574 0.8574
O: 0.7401 0.2365 0.5808
P: 0.7523 0.0410 0.7394
O: 0.2389 0.7384 0.9424
O: 0.5692 0.8046 0.6204
O: 0.2446 0.7611 0.4128
O: 0.7401 0.4426 0.2365
O: 0.0734 0.1219 0.3017
O: 0.7792 0.2742 0.0429

Summary:
The value obtained for the total DFT energy (no corrections) is -7.011 eV per atom. As for the calculated volume: 465 Å³/cell. As for the density: 3.49 g/cm³.